# 1
{"formula": "TaMo2AsPd", "functional": "GGA-PBE", "state": "optimized geometry", "lattice": [[4.5611, 0.0000, 0.0000], [0.0000, 4.5611, 0.0000], [0.0000, 0.0000, 4.7302]], "species": ["Ta", "Mo", "Mo", "As", "Pd"], "frac_coords": [[0.0000, 0.0000, 0.0000], [0.0000, 0.5000, 0.5000], [0.5000, 0.0000, 0.5000], [0.0000, 0.0000, 0.5000], [0.5000, 0.5000, 0.0000]], "e_form_mev_per_atom": 1089, "dos_ef_per_ev_cell": 6.0}


# 2
{"formula": "PrAlZn11", "functional": "GGA-PBE", "state": "optimized geometry", "lattice": [[2.6435, -6.3398, 0.0000], [2.6435, 6.3398, 0.0000], [-2.6231, 0.0000, 6.3261]], "species": ["Pr", "Al", "Zn", "Zn", "Zn", "Zn", "Zn", "Zn", "Zn", "Zn", "Zn", "Zn", "Zn"], "frac_coords": [[0.0000, 0.0000, 0.0000], [0.0000, 0.0000, 0.5000], [0.9999, 0.3567, 0.3555], [0.0000, 0.5000, 0.0000], [0.0001, 0.6433, 0.6445], [0.2825, 0.5053, 0.7806], [0.3567, 0.9999, 0.3555], [0.4947, 0.7175, 0.2194], [0.5000, 0.0000, 0.0000], [0.5000, 0.5000, 0.5000], [0.5053, 0.2825, 0.7806], [0.6433, 0.0001, 0.6445], [0.7175, 0.4947, 0.2194]], "e_form_mev_per_atom": -186, "dos_ef_per_ev_cell": 2.4}


Copy entry 1 word for word.
{"formula": "TaMo2AsPd", "functional": "GGA-PBE", "state": "optimized geometry", "lattice": [[4.5611, 0.0000, 0.0000], [0.0000, 4.5611, 0.0000], [0.0000, 0.0000, 4.7302]], "species": ["Ta", "Mo", "Mo", "As", "Pd"], "frac_coords": [[0.0000, 0.0000, 0.0000], [0.0000, 0.5000, 0.5000], [0.5000, 0.0000, 0.5000], [0.0000, 0.0000, 0.5000], [0.5000, 0.5000, 0.0000]], "e_form_mev_per_atom": 1089, "dos_ef_per_ev_cell": 6.0}


> Which formula does entry 2 have?

PrAlZn11